Computed, not measured: a relaxed structure of Tl2CdGa2 at the PBE-GGA level of DFT.

Results
Formation energy from the elements ... 193 meV/atom
Relative energy among the computed polymorphs ... 126 meV/atom
Final energy ... -2.148 eV/atom
DOS(E_F) ... 0.607 states/eV per atom

Cell: 4.703 4.703 12.292 Å, 90.00 90.00 90.00°
Space group I4/mmm (No. 139)
Unique sites:
1 Tl 0.000 0.500 0.250
2 Cd 0.000 0.000 0.000
3 Ga 0.000 0.000 0.399

Computed, not measured: a relaxed structure of TlCd9Ga3 at the PBE-GGA level of DFT.

Results
Formation energy from the elements ... 50 meV/atom
Final energy ... -1.464 eV/atom
DOS(E_F) ... 0.281 states/eV per atom

Cell: 5.864 14.501 7.643 Å, 90.00 111.72 90.00°
Space group C2/m (No. 12)
Unique sites:
1 Tl 0.000 0.000 0.000
2 Cd 0.000 0.000 0.500
3 Cd 0.101 0.392 0.215
4 Cd 0.175 0.175 0.351
5 Ga 0.000 0.500 0.500
6 Ga 0.250 0.250 0.000

Computed, not measured: a relaxed structure of TlCdGa at the PBE-GGA level of DFT.

Results
Formation energy from the elements ... 69 meV/atom
Final energy ... -2.034 eV/atom
DOS(E_F) ... 0.431 states/eV per atom

Cell: 3.194 6.027 8.364 Å, 110.99 90.68 90.03°
Space group P1 (No. 1)
Unique sites:
1 Tl 0.000 0.000 0.000
2 Tl 0.056 0.376 0.751
3 Cd 0.528 0.551 0.134
4 Cd 0.534 0.794 0.616
5 Ga 0.030 0.941 0.374
6 Ga 0.529 0.311 0.376

Computed, not measured: a relaxed structure of TlCd2Ga6 at the PBE-GGA level of DFT.

Results
Formation energy from the elements ... 78 meV/atom
Final energy ... -2.406 eV/atom
DOS(E_F) ... 0.401 states/eV per atom

Cell: 9.119 14.821 2.957 Å, 90.00 102.19 90.00°
Space group C2/m (No. 12)
Unique sites:
1 Tl 0.000 0.000 0.000
2 Cd 0.169 0.500 0.219
3 Ga 0.000 0.343 0.500
4 Ga 0.169 0.181 0.694

Computed, not measured: a relaxed structure of TlCdGa at the PBE-GGA level of DFT.

Results
Formation energy from the elements ... 64 meV/atom
Final energy ... -2.039 eV/atom
DOS(E_F) ... 0.379 states/eV per atom

Cell: 3.279 5.137 8.885 Å, 96.96 92.17 90.68°
Space group P-1 (No. 2)
Unique sites:
1 Tl 0.247 0.277 0.116
2 Cd 0.250 0.199 0.739
3 Ga 0.264 0.721 0.535

Computed, not measured: a relaxed structure of TlCd3Ga at the PBE-GGA level of DFT.

Results
Formation energy from the elements ... 194 meV/atom
Relative energy among the computed polymorphs ... 160 meV/atom
Final energy ... -1.433 eV/atom
DOS(E_F) ... 0.523 states/eV per atom

Cell: 5.260 5.260 5.260 Å, 90.00 90.00 90.00°
Space group Pm-3m (No. 221)
Unique sites:
1 Tl 0.000 0.000 0.000
2 Cd 0.000 0.500 0.500
3 Ga 0.500 0.500 0.500

Which formula does entry 5 have?
TlCdGa

Among the records above, which one has the highest formation energy from the elements?
TlCd3Ga